<w>
## TbSc2Ag (PBE)

Data for a geometry-optimized TbSc2Ag structure.

Unit cell a=4.732 b=4.497 c=4.497 alpha=90.00 beta=90.00 gamma=90.00
Each line ends with the local moment (μB).
Sites, in units of the cell vectors:
Sc1 0.000 0.000 0.500  0.18
Sc2 0.000 0.500 0.000  0.18
Tb1 0.500 0.500 0.500  0.10
Ag1 0.500 0.000 0.000  0.01

***

<x>
## TbSc2Ag (PBE)

Data for a geometry-optimized TbSc2Ag structure.

Unit cell a=5.108 b=5.108 c=5.111 alpha=60.02 beta=60.02 gamma=60.00
Sites, in units of the cell vectors:
Sc1 0.750 0.750 0.749
Sc2 0.250 0.250 0.251
Tb1 0.000 0.000 0.000
Ag1 0.500 0.500 0.500

***

<y>
## TbSc2Ag (PBE)

Data for a geometry-optimized TbSc2Ag structure.

Unit cell a=3.414 b=3.414 c=10.080 alpha=80.25 beta=80.25 gamma=60.00
Each line ends with the local moment (μB).
Sites, in units of the cell vectors:
Tb1 0.501 0.501 0.498  0.02
Sc1 0.074 0.074 0.778  0.07
Sc2 0.259 0.259 0.222  0.00
Ag1 0.666 0.666 0.002  0.01

***

Result of the stability comparison: <w> is the most stable of them.

***

<w>
## TbSc2Ag (PBE)

Data for a geometry-optimized TbSc2Ag structure.

Unit cell a=3.418 b=6.327 c=9.391 alpha=90.00 beta=90.00 gamma=105.67
Sites, in units of the cell vectors:
Tb1 0.452 0.904 0.250
Tb2 0.548 0.096 0.750
Sc1 0.133 0.266 0.454
Sc2 0.867 0.734 0.546
Sc3 0.867 0.734 0.954
Sc4 0.133 0.266 0.046
Ag1 0.742 0.484 0.250
Ag2 0.258 0.516 0.750

***

<x>
## TbSc2Ag (PBE)

Data for a geometry-optimized TbSc2Ag structure.

Unit cell a=3.481 b=3.481 c=7.993 alpha=90.00 beta=90.00 gamma=90.00
Sites, in units of the cell vectors:
Sc1 0.000 0.000 0.792
Sc2 0.000 0.000 0.208
Tb1 0.500 0.500 0.500
Ag1 0.500 0.500 0.000

***

Result of the stability comparison: <w> is the most stable of them.

***

<w>
## TbScAg4 (PBE)

Data for a geometry-optimized TbScAg4 structure.

Unit cell a=5.631 b=5.631 c=5.631 alpha=60.00 beta=60.00 gamma=60.00
Sites, in units of the cell vectors:
Sc1 0.250 0.250 0.250
Tb1 0.000 0.000 0.000
Ag1 0.625 0.625 0.126
Ag2 0.625 0.126 0.625
Ag3 0.625 0.625 0.625
Ag4 0.126 0.625 0.625

***

<x>
## TbScAg4 (PBE)

Data for a geometry-optimized TbScAg4 structure.

Unit cell a=3.706 b=5.236 c=7.368 alpha=101.12 beta=75.43 gamma=69.21
Sites, in units of the cell vectors:
Tb1 0.501 0.497 0.998
Sc1 0.001 0.997 0.498
Ag1 0.654 0.012 0.179
Ag2 0.349 0.983 0.817
Ag3 0.179 0.487 0.653
Ag4 0.824 0.507 0.343

***

Result of the stability comparison: <x> is the most stable of them.